(1)
CaTlP2Pt: optimized geometry, GGA-PBE.

Size of the total moment, μB per cell: 0.00
Formation energy, eV per atom: 0.590
Energy, eV/atom: -3.655

Cell lengths 5.118, 5.118, 5.084 Å; angles 90.00, 90.00, 90.00 degrees
Space group P4/mmm (No. 123)
Unique sites:
Ca1 0.000 0.000 0.000
Tl1 0.500 0.500 0.500
P1 0.000 0.500 0.500
Pt1 0.500 0.500 0.000



(2)
Ca2UP3Pt4: optimized geometry, GGA-PBE.

Size of the total moment, μB per cell: 2.61
Formation energy, eV per atom: -0.771
Energy, eV/atom: -6.340

Cell lengths 4.099, 4.099, 11.432 Å; angles 90.00, 90.00, 90.00 degrees
Space group P-4m2 (No. 115)
Unique sites:
Ca1 0.000 0.500 0.221
U1 0.000 0.000 0.500
P1 0.000 0.500 0.879
P2 0.500 0.500 0.500
Pt1 0.000 0.000 0.000
Pt2 0.000 0.500 0.676
Pt3 0.500 0.500 0.000